1.
Entry from OQMD: a relaxed structure of LiZnNiAg (PBE).

- Energy above the lowest structure with this stoichiometry: 0.0000 eV/atom
- Symmetry: No. 216
- Volume: 55 Å³/cell
- Spin magnetization: 0.0 μB per formula unit

Cell lengths 4.268, 4.268, 4.268 Å; angles 60.00, 60.00, 60.00 degrees
Sites, in units of the cell vectors:
Li 0.250 0.250 0.250
Zn 0.000 0.000 0.000
Ni 0.750 0.750 0.750
Ag 0.500 0.500 0.500



2.
Entry from OQMD: a relaxed structure of ErCoOs (PBE).

- Energy above the lowest structure with this stoichiometry: 1.5189 eV/atom
- Symmetry: No. 216
- Volume: 60 Å³/cell
- ΔH_f (0 K): 1214 meV/atom
- Spin magnetization: 2.3 μB per formula unit

Cell lengths 4.403, 4.403, 4.403 Å; angles 60.00, 60.00, 60.00 degrees
Sites, in units of the cell vectors:
Os 0.750 0.750 0.750
Er 0.000 0.000 0.000
Co 0.250 0.250 0.250



3.
Entry from OQMD: a relaxed structure of CsErBr3 (PBE).

- Symmetry: No. 160
- Volume: 174 Å³/cell
- Spin magnetization: 0.0 μB per formula unit
- Raw total energy: -3.6638 eV/atom

Cell lengths 5.587, 5.587, 5.587 Å; angles 89.92, 89.92, 89.92 degrees
Sites, in units of the cell vectors:
Cs 0.000 0.000 0.000
Br 0.001 0.502 0.502
Er 0.501 0.501 0.501
Br 0.502 0.001 0.502
Br 0.502 0.502 0.001



4.
Entry from OQMD: a relaxed structure of Pr3Cd3GaAu2 (PBE).

- Symmetry: No. 189
- Volume: 222 Å³/cell
- Spin magnetization: 0.0 μB per formula unit
- Raw total energy: -3.5483 eV/atom

Cell lengths 7.745, 7.745, 4.269 Å; angles 90.00, 90.00, 120.00 degrees
Sites, in units of the cell vectors:
Au 0.333 0.667 0.000
Pr 0.000 0.588 0.500
Cd 0.246 0.000 0.000
Cd 0.000 0.246 0.000
Au 0.667 0.333 0.000
Ga 0.000 0.000 0.500
Pr 0.412 0.412 0.500
Pr 0.588 0.000 0.500
Cd 0.754 0.754 0.000



5.
Entry from OQMD: a relaxed structure of NdSiO3 (PBE).

- Symmetry: No. 123
- Volume: 105 Å³/cell
- Spin magnetization: 0.0 μB per formula unit
- Raw total energy: -7.4260 eV/atom

Cell lengths 5.310, 5.310, 5.310 Å; angles 120.24, 120.24, 89.59 degrees
Sites, in units of the cell vectors:
Si 0.000 0.000 0.000
O 0.750 0.250 0.999
O 0.250 0.250 0.000
O 0.250 0.750 0.001
O 0.750 0.750 0.000
Nd 0.750 0.250 0.500
Nd 0.250 0.750 0.500
O 0.750 0.750 0.500
O 0.250 0.250 0.500
Si 0.500 0.500 0.000



6.
Entry from OQMD: a relaxed structure of Li6MgPt (PBE).

- Symmetry: No. 123
- Volume: 125 Å³/cell
- Spin magnetization: 0.0 μB per formula unit
- Raw total energy: -2.5799 eV/atom

Cell lengths 4.353, 4.353, 6.599 Å; angles 90.00, 90.00, 90.00 degrees
Sites, in units of the cell vectors:
Li 0.000 0.500 0.716
Li 0.500 0.000 0.284
Mg 0.000 0.000 0.000
Li 0.500 0.000 0.716
Pt 0.500 0.500 0.500
Li 0.000 0.500 0.284
Li 0.500 0.500 0.000
Li 0.000 0.000 0.500



7.
Entry from OQMD: a relaxed structure of PrTeNO (PBE).

- Energy above the lowest structure with this stoichiometry: 0.4416 eV/atom
- Symmetry: No. 26
- Volume: 170 Å³/cell
- Spin magnetization: 0.0 μB per formula unit

Cell lengths 3.838, 6.534, 6.765 Å; angles 90.00, 90.00, 90.00 degrees
Sites, in units of the cell vectors:
Te 0.500 0.511 0.708
Pr 0.000 0.514 0.291
O 0.500 0.356 0.184
Pr 0.000 0.014 0.709
O 0.500 0.856 0.816
Te 0.500 0.011 0.292
N 0.000 0.372 0.618
N 0.000 0.872 0.382



8.
Entry from OQMD: a relaxed structure of Er2In8Pd (PBE).

- Symmetry: No. 123
- Volume: 263 Å³/cell
- Spin magnetization: 0.0 μB per formula unit
- Raw total energy: -3.6757 eV/atom

Cell lengths 4.669, 4.669, 12.075 Å; angles 90.00, 90.00, 90.00 degrees
Sites, in units of the cell vectors:
In 0.500 0.000 0.500
In 0.000 0.500 0.872
In 0.000 0.500 0.128
Er 0.000 0.000 0.312
Er 0.000 0.000 0.688
In 0.500 0.000 0.872
In 0.500 0.000 0.128
In 0.000 0.500 0.500
In 0.500 0.500 0.691
Pd 0.000 0.000 0.000
In 0.500 0.500 0.309



> Number 4 is which compound?

Pr3Cd3GaAu2